Record 1
Compound: Rb2CoPbCl6
Source: the Alexandria database
Functional: PBE
Structure: relaxed

Summary:
Uncorrected energy, eV/atom: -3.66

a b c (Å): 7.4814 7.4814 7.4779
angles (deg): 119.80 119.80 60.17
Last column: nearest neighbours and their distance in Å.
Element x y z (fractional)
Rb1 0.0000 0.0000 0.0000  12 Cl 3.74-3.76
Rb2 0.5001 0.5001 0.5000  12 Cl 3.74-3.76
Co1 0.2506 0.2506 0.7506  6 Cl 2.45
Pb1 0.7506 0.7506 0.2506  6 Cl 2.85
Cl1 0.0195 0.0195 0.5185  1 Co 2.45
Cl2 0.0189 0.4816 0.5196  1 Co 2.45
Cl3 0.0198 0.4825 0.9819  1 Co 2.45
Cl4 0.4816 0.0189 0.5196  1 Co 2.45
Cl5 0.4825 0.0198 0.9819  1 Co 2.45
Cl6 0.4818 0.4818 0.9828  1 Co 2.45

***

Record 2
Compound: RbCoPb2Cl8
Source: the Alexandria database
Functional: PBE
Structure: relaxed

Summary:
Uncorrected energy, eV/atom: -3.62

a b c (Å): 6.5904 7.1852 8.2518
angles (deg): 68.84 88.88 88.70
Last column: nearest neighbours and their distance in Å.
Element x y z (fractional)
Rb1 0.0000 0.0000 0.0000  8 Cl 3.45-3.71
Co1 0.0000 0.5000 0.5000  6 Cl 2.26-2.28
Pb1 0.4751 0.4722 0.2637  5 Cl 2.78-3.09
Pb2 0.5249 0.5278 0.7363  5 Cl 2.78-3.09
Cl1 0.0331 0.4542 0.2410  1 Co 2.28
Cl2 0.2361 0.7408 0.4083  1 Co 2.26
Cl3 0.2444 0.2660 0.6149  1 Co 2.26
Cl4 0.4877 0.7788 0.9408  2 Pb 2.78-2.88
Cl5 0.5123 0.2212 0.0592  2 Pb 2.78-2.88
Cl6 0.7556 0.7340 0.3851  1 Co 2.26
Cl7 0.7639 0.2592 0.5917  1 Co 2.26
Cl8 0.9669 0.5458 0.7590  1 Co 2.28

***

Record 3
Compound: CoPbSCl2
Source: the Alexandria database
Functional: PBE
Structure: relaxed

Summary:
Uncorrected energy, eV/atom: -4.11
ΔE to the lowest computed polymorph, meV per atom: 0

a b c (Å): 4.7560 4.7560 4.6507
angles (deg): 90.00 90.00 90.00
Last column: nearest neighbours and their distance in Å.
Element x y z (fractional)
Co1 0.0000 0.0000 0.0000  2 S 2.33, 4 Cl 2.38
Pb1 0.5000 0.5000 0.5000  8 Cl 3.33, 4 S 3.36
S1 0.0000 0.0000 0.5000  2 Co 2.33
Cl1 0.0000 0.5000 0.0000  2 Co 2.38
Cl2 0.5000 0.0000 0.0000  2 Co 2.38

***

Record 4
Compound: CoPbSCl2
Source: the Alexandria database
Functional: PBE
Structure: relaxed

Summary:
Uncorrected energy, eV/atom: -3.29
ΔE to the lowest computed polymorph, meV per atom: 818

a b c (Å): 5.4059 5.4059 5.2938
angles (deg): 90.00 90.00 90.00
Last column: nearest neighbours and their distance in Å.
Element x y z (fractional)
Co1 0.0000 0.0000 0.0000  8 Cl 3.78, 4 S 3.82
Pb1 0.5000 0.5000 0.5000  2 S 2.65, 4 Cl 2.70
S1 0.5000 0.5000 0.0000  2 Pb 2.65
Cl1 0.0000 0.5000 0.5000  2 Pb 2.70
Cl2 0.5000 0.0000 0.5000  2 Pb 2.70

***

Record 5
Compound: Co2SbPbCl
Source: the Alexandria database
Functional: PBE
Structure: relaxed

Summary:
Uncorrected energy, eV/atom: -4.11

a b c (Å): 4.7805 4.7805 6.3352
angles (deg): 90.00 90.00 90.00
Last column: nearest neighbours and their distance in Å.
Element x y z (fractional)
Co1 0.0000 0.5000 0.0000  2 Sb 2.39
Co2 0.5000 0.0000 0.0000  2 Sb 2.39
Sb1 0.0000 0.0000 0.0000  4 Co 2.39
Pb1 0.0000 0.0000 0.5000  2 Sb 3.17, 4 Cl 3.38
Cl1 0.5000 0.5000 0.5000  4 Pb 3.38

***

Record 6
Compound: TlCoPbCl6
Source: the Alexandria database
Functional: PBE
Structure: relaxed

Summary:
Uncorrected energy, eV/atom: -3.50

a b c (Å): 6.9291 6.9291 6.7173
angles (deg): 90.00 90.00 120.00
Last column: nearest neighbours and their distance in Å.
Element x y z (fractional)
Tl1 0.0000 0.0000 0.0000  6 Cl 3.21
Co1 0.6667 0.3333 0.5000  6 Cl 2.40
Pb1 0.3333 0.6667 0.5000  6 Cl 2.84
Cl1 0.3905 0.0484 0.7099  1 Co 2.40
Cl2 0.3905 0.3421 0.2901  1 Co 2.40
Cl3 0.6579 0.0484 0.2901  1 Co 2.40
Cl4 0.6579 0.6095 0.7099  1 Co 2.40
Cl5 0.9516 0.3421 0.7099  1 Co 2.40
Cl6 0.9516 0.6095 0.2901  1 Co 2.40

***

Record 7
Compound: TlCoPbCl5
Source: the Alexandria database
Functional: PBE
Structure: relaxed

Summary:
Uncorrected energy, eV/atom: -3.70

a b c (Å): 7.6676 7.6676 10.1534
angles (deg): 104.00 104.00 106.62
Last column: nearest neighbours and their distance in Å.
Element x y z (fractional)
Tl1 0.1494 0.8506 0.7500  5 Cl 3.08-3.32
Tl2 0.8506 0.1494 0.2500  5 Cl 3.08-3.32
Co1 0.1851 0.8149 0.2500  4 Cl 2.27
Co2 0.8149 0.1851 0.7500  4 Cl 2.27
Pb1 0.5000 0.5000 0.0000  6 Cl 2.82-2.98
Pb2 0.5000 0.5000 0.5000  6 Cl 2.82-2.98
Cl1 0.0921 0.2432 0.9266  1 Co 2.27
Cl2 0.1662 0.5881 0.3590  1 Co 2.27
Cl3 0.2432 0.0921 0.4266  1 Co 2.27
Cl4 0.3997 0.6003 0.7500  2 Pb 2.82, 1 Tl 3.08
Cl5 0.4119 0.8338 0.1410  1 Co 2.27
Cl6 0.5881 0.1662 0.8590  1 Co 2.27
Cl7 0.6003 0.3997 0.2500  2 Pb 2.82, 1 Tl 3.08
Cl8 0.7568 0.9079 0.5734  1 Co 2.27
Cl9 0.8338 0.4119 0.6410  1 Co 2.27
Cl10 0.9079 0.7568 0.0734  1 Co 2.27

***

Record 8
Compound: CoPdCl6
Source: the Alexandria database
Functional: PBE
Structure: relaxed

Summary:
Uncorrected energy, eV/atom: -3.31
ΔE to the lowest computed polymorph, meV per atom: 0

a b c (Å): 6.4522 6.4522 6.0618
angles (deg): 100.24 100.24 123.90
Last column: nearest neighbours and their distance in Å.
Element x y z (fractional)
Co1 0.0000 0.0000 0.0000  6 Cl 2.25-2.27
Pd1 0.5000 0.5000 0.5000  4 Cl 2.34
Cl1 0.1057 0.3800 0.2432  1 Co 2.27, 1 Pd 2.34
Cl2 0.2231 0.2231 0.7765  1 Co 2.25
Cl3 0.3800 0.1057 0.2432  1 Co 2.27, 1 Pd 2.34
Cl4 0.6200 0.8943 0.7568  1 Co 2.27, 1 Pd 2.34
Cl5 0.7769 0.7769 0.2235  1 Co 2.25
Cl6 0.8943 0.6200 0.7568  1 Co 2.27, 1 Pd 2.34

***

no.,formation energy from raw total energies (eV/atom)
1,-1.278
2,-1.100
3,-0.379
4,0.439
5,0.672
6,-0.800
7,-0.898
8,-0.391